Compound: U2TiSe6
Source: Alexandria
Functional: PBE
Structure: relaxed

abc: 3.9461 7.7410 9.6003
angles: 107.45 90.00 104.77
Site moments in Bohr magnetons follow the coordinates.
Sites, in units of the cell vectors:
Se 0.9773 0.9547 0.2204  -0.07
Se 0.6221 0.2441 0.5218  -0.06
U 0.3402 0.6804 0.1795  1.86
Se 0.3005 0.6009 0.8708  -0.08
U 0.6598 0.3196 0.8205  1.86
Ti 0.0000 0.0000 0.5000  0.48
Se 0.0227 0.0453 0.7796  -0.07
Se 0.3779 0.7559 0.4782  -0.06
Se 0.6995 0.3991 0.1291  -0.08

## Properties
Fermi-level density of states   11.301 states/eV per cell
Uncorrected formation energy   -9.9 eV per formula unit